Entry 1:
! KZrRh2 PBE relaxed; values from VASP
&SYSTEM
  ibrav = 0, nat = 4, ntyp = 3
/
ATOMIC_SPECIES
K 39.10 K.upf
Zr 91.22 Zr.upf
Rh 102.91 Rh.upf
CELL_PARAMETERS angstrom
-1.541 2.489 5.305
1.541 -2.489 5.305
1.541 2.489 -5.305
ATOMIC_POSITIONS crystal
K 0.000 0.000 0.000
Zr 0.709 0.209 0.500
Rh 0.288 0.788 0.500
Rh 0.512 0.512 0.000
! Relative energy among the computed polymorphs (eV per atom): 0.495

Entry 2:
! CrHg3Sb PBE relaxed; values from VASP
&SYSTEM
  ibrav = 0, nat = 5, ntyp = 3
/
ATOMIC_SPECIES
Cr 52.00 Cr.upf
Hg 200.59 Hg.upf
Sb 121.76 Sb.upf
CELL_PARAMETERS angstrom
5.254 0.000 0.000
0.000 5.254 0.000
0.000 0.000 5.254
ATOMIC_POSITIONS crystal
Cr 0.000 0.000 0.000
Hg 0.000 0.000 0.500
Hg 0.000 0.500 0.000
Hg 0.500 0.000 0.000
Sb 0.500 0.500 0.500
! ΔE_f (raw) (eV per atom): 0.627
! Relative energy among the computed polymorphs (eV per atom): 0.000

Entry 3:
# Dy11Y4Er9

A relaxed structure of Dy11Y4Er9 (PBE, Alexandria). Values from VASP.

```
&SYSTEM
  ibrav = 0, nat = 24, ntyp = 3
/
ATOMIC_SPECIES
Dy 162.50 Dy.upf
Y 88.91 Y.upf
Er 167.26 Er.upf
CELL_PARAMETERS angstrom
8.299 -12.561 0.000
8.299 12.561 0.000
0.000 0.000 3.635
ATOMIC_POSITIONS crystal
Dy 0.000 0.000 0.000
Dy 0.043 0.406 0.000
Dy 0.161 0.839 0.000
Dy 0.289 0.289 0.000
Dy 0.367 0.633 0.000
Dy 0.406 0.043 0.000
Dy 0.594 0.957 0.000
Dy 0.633 0.367 0.000
Dy 0.711 0.711 0.000
Dy 0.839 0.161 0.000
Dy 0.957 0.594 0.000
Y 0.244 0.445 0.500
Y 0.445 0.244 0.500
Y 0.555 0.756 0.500
Y 0.756 0.555 0.500
Er 0.067 0.213 0.500
Er 0.164 0.631 0.500
Er 0.213 0.067 0.500
Er 0.369 0.836 0.500
Er 0.500 0.500 0.500
Er 0.631 0.164 0.500
Er 0.787 0.933 0.500
Er 0.836 0.369 0.500
Er 0.933 0.787 0.500
```

Entry 4:
! Pr5HoTm2 PBE relaxed; values from VASP
&SYSTEM
  ibrav = 0, nat = 16, ntyp = 3
/
ATOMIC_SPECIES
Pr 140.91 Pr.upf
Ho 164.93 Ho.upf
Tm 168.93 Tm.upf
CELL_PARAMETERS angstrom
3.232 -13.142 0.000
3.232 13.142 0.000
-0.815 0.000 6.484
ATOMIC_POSITIONS crystal
Pr 0.121 0.492 0.994
Pr 0.126 0.874 0.750
Pr 0.163 0.354 0.684
Pr 0.354 0.163 0.184
Pr 0.492 0.121 0.494
Pr 0.508 0.879 0.506
Pr 0.646 0.837 0.816
Pr 0.837 0.646 0.316
Pr 0.874 0.126 0.250
Pr 0.879 0.508 0.006
Ho 0.457 0.543 0.250
Ho 0.543 0.457 0.750
Tm 0.000 0.000 0.000
Tm 0.000 0.000 0.500
Tm 0.000 0.500 0.500
Tm 0.500 0.000 0.000
! Relative energy among the computed polymorphs (eV per atom): 0.149

Entry 5:
# CeZnCuAu

A relaxed structure of CeZnCuAu (PBE, Alexandria). Values from VASP.

```
&SYSTEM
  ibrav = 0, nat = 4, ntyp = 4
/
ATOMIC_SPECIES
Ce 140.12 Ce.upf
Zn 65.41 Zn.upf
Cu 63.55 Cu.upf
Au 196.97 Au.upf
CELL_PARAMETERS angstrom
0.000 3.399 3.399
3.399 0.000 3.399
3.399 3.399 0.000
ATOMIC_POSITIONS crystal
Ce 0.000 0.000 0.000
Zn 0.500 0.500 0.500
Cu 0.250 0.250 0.250
Au 0.750 0.750 0.750
```

Entry 6:
# AlCdPd2

A relaxed structure of AlCdPd2 (PBE, Alexandria). Values from VASP.

```
&SYSTEM
  ibrav = 0, nat = 4, ntyp = 3
/
ATOMIC_SPECIES
Al 26.98 Al.upf
Cd 112.41 Cd.upf
Pd 106.42 Pd.upf
CELL_PARAMETERS angstrom
4.590 0.000 0.000
0.000 4.590 0.000
0.000 0.000 3.058
ATOMIC_POSITIONS crystal
Al 0.000 0.000 0.000
Cd 0.500 0.500 0.000
Pd 0.000 0.500 0.500
Pd 0.500 0.000 0.500
```

no.,size of the total moment (μB/atom),calculated total energy (eV/atom),DOS at the Fermi energy (states/eV/f.u.)
1,0.00,-5.81,3.1
2,0.75,-2.30,3.6
3,0.00,-4.84,32.2
4,0.00,-4.41,10.1
5,0.06,-3.94,6.4
6,0.00,-4.34,1.4